## CaAc2Ho (GGA-PBE)

Data for CaAc2Ho after structural relaxation.

Geometry as CIF:
```
data_CaAc2Ho
_cell_length_a 3.737
_cell_length_b 3.737
_cell_length_c 13.675
_cell_angle_alpha 82.15
_cell_angle_beta 82.15
_cell_angle_gamma 60.00
_symmetry_space_group_name_H-M 'P 1'
_symmetry_Int_Tables_number 1
loop_
_symmetry_equiv_pos_as_xyz
'x,y,z'
loop_
_atom_site_label
_atom_site_type_symbol
_atom_site_fract_x
_atom_site_fract_y
_atom_site_fract_z
Ca1 Ca 0.500 0.500 0.500
Ac1 Ac 0.084 0.084 0.748
Ac2 Ac 0.916 0.916 0.252
Ho1 Ho 0.000 0.000 0.000
```

Computed properties:
Formation enthalpy at 0 K, eV/atom: 0.273
E_tot, eV per atom: -3.426
M_tot, Bohr magnetons per cell: 0.000